No. 1
A plane-wave DFT calculation with PBE-GGA was carried out for crystalline CaZnRe2Pd at its relaxed geometry.

Unit cell a=4.6183 b=4.6183 c=4.7697 alpha=90.00 beta=90.00 gamma=90.00
With the nearest neighbours (Å) after each atom.
Space group P4/mmm (No. 123)
Inequivalent atoms, fractional coordinates:
Ca1 0.0000 0.0000 0.0000 (multiplicity 1)  4 Re 2.31, 2 Zn 2.38
Zn1 0.0000 0.0000 0.5000 (multiplicity 1)  2 Ca 2.38
Re1 0.0000 0.5000 0.0000 (multiplicity 2)  2 Ca 2.31
Pd1 0.5000 0.5000 0.5000 (multiplicity 1)  4 Zn 3.27, 8 Re 3.32

Computed properties:
**DOS at the Fermi energy**: 0.881 states/eV/atom
**Energy of formation from the pure elements**: 262.2 kJ per mole of atoms
**DFT total energy**: -3.96 eV/atom
**Crystal system**: tetragonal


No. 2
A plane-wave DFT calculation with PBE-GGA was carried out for crystalline Mn2CrSnH at its relaxed geometry.

Unit cell a=3.8482 b=3.8482 c=3.9113 alpha=90.00 beta=90.00 gamma=90.00
With the nearest neighbours (Å) after each atom.
Space group P4/mmm (No. 123)
Inequivalent atoms, fractional coordinates:
Mn1 0.0000 0.5000 0.0000 (multiplicity 2)  2 H 1.92
Cr1 0.0000 0.0000 0.5000 (multiplicity 1)  2 H 1.96
Sn1 0.5000 0.5000 0.5000 (multiplicity 1)  4 Cr 2.72, 8 Mn 2.74
H1 0.0000 0.0000 0.0000 (multiplicity 1)  4 Mn 1.92, 2 Cr 1.96

Computed properties:
**DOS at the Fermi energy**: 0.972 states/eV/atom
**DFT total energy**: -6.97 eV/atom
**Crystal system**: tetragonal


No. 3
A plane-wave DFT calculation with PBE-GGA was carried out for crystalline BaHg2BrO2 at its relaxed geometry.

Unit cell a=7.3147 b=6.4972 c=7.8501 alpha=90.00 beta=110.71 gamma=90.00
With the nearest neighbours (Å) after each atom.
Space group P2_1/m (No. 11)
Inequivalent atoms, fractional coordinates:
Ba1 0.2137 0.2500 0.0477 (multiplicity 2)  4 O 2.64-2.65
Hg1 0.0889 0.7500 0.6675 (multiplicity 2)  2 O 2.22
Hg2 0.2011 0.7500 0.3734 (multiplicity 2)  2 O 2.28
Br1 0.4923 0.7500 0.2206 (multiplicity 2)  1 Hg 2.79
O1 0.0190 0.0056 0.1937 (multiplicity 4)  2 Hg 2.22-2.28

Computed properties:
**DOS at the Fermi energy**: 0.610 states/eV/atom
**ΔE_f (raw)**: -0.97 eV/atom
**DFT total energy**: -3.32 eV/atom
**Crystal system**: monoclinic


No. 4
A plane-wave DFT calculation with PBE-GGA was carried out for crystalline LiSn at its relaxed geometry.

Unit cell a=8.6772 b=8.6772 c=8.6772 alpha=90.00 beta=90.00 gamma=90.00
With the nearest neighbours (Å) after each atom.
Space group I-43m (No. 217)
Inequivalent atoms, fractional coordinates:
Li1 0.1965 0.1965 0.1965 (multiplicity 8)  4 Sn 2.74-2.91
Sn1 0.1209 0.1209 0.8791 (multiplicity 8)  4 Li 2.74-2.91, 3 Sn 2.97

Computed properties:
**Energy of formation from the pure elements**: -5.4 kJ per mole of atoms
**DFT total energy**: -3.01 eV/atom
**Crystal system**: cubic


No. 5
A plane-wave DFT calculation with PBE-GGA was carried out for crystalline CdP2OsCl at its relaxed geometry.

Unit cell a=4.5443 b=4.5443 c=5.2679 alpha=90.00 beta=90.00 gamma=90.00
With the nearest neighbours (Å) after each atom.
Space group P4/mmm (No. 123)
Inequivalent atoms, fractional coordinates:
Cd1 0.0000 0.0000 0.0000 (multiplicity 1)  4 Cl 3.21, 8 P 3.48
P1 0.0000 0.5000 0.5000 (multiplicity 2)  2 Os 2.27
Os1 0.5000 0.5000 0.5000 (multiplicity 1)  4 P 2.27
Cl1 0.5000 0.5000 0.0000 (multiplicity 1)  2 Os 2.63

Computed properties:
**DOS at the Fermi energy**: 0.823 states/eV/atom
**ΔE_f (raw)**: 0.39 eV/atom
**Polymorph energy (0 for the lowest one)**: 0.0 meV per atom
**DFT total energy**: -4.58 eV/atom
**Crystal system**: tetragonal


No. 6
A plane-wave DFT calculation with PBE-GGA was carried out for crystalline LaPrDy2Ho5 at its relaxed geometry.

Unit cell a=8.8040 b=8.8040 c=15.2866 alpha=90.00 beta=90.00 gamma=90.00
With the nearest neighbours (Å) after each atom.
Space group I4/mcm (No. 140)
Inequivalent atoms, fractional coordinates:
La1 0.0000 0.0000 0.2500 (multiplicity 4)  10 Ho 3.65-3.82
Pr1 0.0000 0.5000 0.2500 (multiplicity 4)  4 Ho 3.11
Dy1 0.1161 0.3839 0.0000 (multiplicity 8)  1 Dy 2.89, 2 Ho 3.02
Ho1 0.0000 0.0000 0.0000 (multiplicity 4)  4 Dy 3.53, 8 Ho 3.75, 2 La 3.82
Ho2 0.2030 0.2970 0.3685 (multiplicity 16)  1 Dy 3.02, 1 Pr 3.11

Computed properties:
**DOS at the Fermi energy**: 1.260 states/eV/atom
**Energy of formation from the pure elements**: 26.0 kJ per mole of atoms
**DFT total energy**: -4.37 eV/atom
**Crystal system**: tetragonal


No. 7
A plane-wave DFT calculation with PBE-GGA was carried out for crystalline Pm5GaGe3 at its relaxed geometry.

Unit cell a=9.0992 b=9.0992 c=6.4837 alpha=90.00 beta=90.00 gamma=120.00
With the nearest neighbours (Å) after each atom.
Space group P6_3/mcm (No. 193)
Inequivalent atoms, fractional coordinates:
Pm1 0.0000 0.2723 0.2500 (multiplicity 6)  2 Ga 2.96, 3 Ge 3.07-3.19
Pm2 0.3333 0.6667 0.0000 (multiplicity 4)  2 Pm 3.24, 6 Ge 3.28
Ga1 0.0000 0.0000 0.0000 (multiplicity 2)  6 Pm 2.96, 2 Ga 3.24
Ge1 0.0000 0.3772 0.7500 (multiplicity 6)  9 Pm 3.07-3.38

Computed properties:
**DOS at the Fermi energy**: 1.034 states/eV/atom
**Energy of formation from the pure elements**: -65.2 kJ per mole of atoms
**DFT total energy**: -5.19 eV/atom
**Crystal system**: hexagonal


No. 8
A plane-wave DFT calculation with PBE-GGA was carried out for crystalline RbCu2WI at its relaxed geometry.

Unit cell a=5.0440 b=5.0440 c=5.2670 alpha=90.00 beta=90.00 gamma=90.00
With the nearest neighbours (Å) after each atom.
Space group P4/mmm (No. 123)
Inequivalent atoms, fractional coordinates:
Rb1 0.0000 0.0000 0.0000 (multiplicity 1)  4 I 3.57, 8 Cu 3.65
Cu1 0.0000 0.5000 0.5000 (multiplicity 2)  2 W 2.52
W1 0.5000 0.5000 0.5000 (multiplicity 1)  4 Cu 2.52, 2 I 2.63
I1 0.5000 0.5000 0.0000 (multiplicity 1)  2 W 2.63

Computed properties:
**DOS at the Fermi energy**: 0.953 states/eV/atom
**ΔE_f (raw)**: 0.81 eV/atom
**DFT total energy**: -3.92 eV/atom
**Crystal system**: tetragonal